# NaHoPbI6 | Alexandria | PBE | optimized geometry
data_NaHoPbI6
_chemical_formula_sum 'Na2 Ho2 Pb2 I12'
_cell_length_a 7.949
_cell_length_b 7.949
_cell_length_c 14.415
_cell_angle_alpha 90.00
_cell_angle_beta 90.00
_cell_angle_gamma 120.00
_symmetry_space_group_name_H-M 'P 1'
_symmetry_Int_Tables_number 1
loop_
_symmetry_equiv_pos_as_xyz
'x,y,z'
loop_
_atom_site_label
_atom_site_fract_x
_atom_site_fract_y
_atom_site_fract_z
I1 0.979 0.338 0.127
I2 0.021 0.359 0.627
I3 0.979 0.641 0.373
I4 0.662 0.641 0.127
I5 0.021 0.662 0.873
I6 0.662 0.021 0.373
I7 0.359 0.021 0.127
I8 0.641 0.979 0.873
I9 0.338 0.979 0.627
I10 0.641 0.662 0.627
I11 0.338 0.359 0.873
I12 0.359 0.338 0.373
Ho1 0.667 0.333 0.250
Ho2 0.333 0.667 0.750
Pb1 0.667 0.333 0.750
Pb2 0.333 0.667 0.250
Na1 0.000 0.000 0.500
Na2 0.000 0.000 0.000
# VASP energy = -3.20 eV/atom
# DOS at the Fermi energy = 0.000 states/eV/atom
# ρ = 4.9 g/cm³
# SG = P-31c (163)

---

# TmBeAlCu | Alexandria | PBE | optimized geometry
data_TmBeAlCu
_chemical_formula_sum 'Tm1 Be1 Al1 Cu1'
_cell_length_a 4.447
_cell_length_b 4.447
_cell_length_c 4.447
_cell_angle_alpha 60.00
_cell_angle_beta 60.00
_cell_angle_gamma 60.00
_symmetry_space_group_name_H-M 'P 1'
_symmetry_Int_Tables_number 1
loop_
_symmetry_equiv_pos_as_xyz
'x,y,z'
loop_
_atom_site_label
_atom_site_fract_x
_atom_site_fract_y
_atom_site_fract_z
Tm1 0.000 0.000 0.000
Be1 0.750 0.750 0.750
Cu1 0.250 0.250 0.250
Al1 0.500 0.500 0.500
# energy of formation from the pure elements = -0.22 eV/atom
# DOS at the Fermi energy = 0.397 states/eV/atom
# ρ = 7.2 g/cm³
# SG = F-43m (216)

---

# Cr2CuSi | Alexandria | PBE | optimized geometry
data_Cr2CuSi
_chemical_formula_sum 'Cr2 Cu1 Si1'
_cell_length_a 4.363
_cell_length_b 4.363
_cell_length_c 4.363
_cell_angle_alpha 129.26
_cell_angle_beta 129.26
_cell_angle_gamma 74.59
_symmetry_space_group_name_H-M 'P 1'
_symmetry_Int_Tables_number 1
loop_
_symmetry_equiv_pos_as_xyz
'x,y,z'
loop_
_atom_site_label
_atom_site_fract_x
_atom_site_fract_y
_atom_site_fract_z
Cr1 0.000 0.000 0.000
Cr2 0.250 0.750 0.500
Cu1 0.500 0.500 0.000
Si1 0.750 0.250 0.500
# VASP energy = -7.20 eV/atom
# DOS at the Fermi energy = 0.313 states/eV/atom
# ρ = 6.7 g/cm³
# SG = I-4m2 (119)

---

# TbNpB | Alexandria | PBE | optimized geometry
data_TbNpB
_chemical_formula_sum 'Tb2 Np2 B2'
_cell_length_a 4.683
_cell_length_b 3.306
_cell_length_c 8.036
_cell_angle_alpha 101.87
_cell_angle_beta 106.94
_cell_angle_gamma 90.00
_symmetry_space_group_name_H-M 'P 1'
_symmetry_Int_Tables_number 1
loop_
_symmetry_equiv_pos_as_xyz
'x,y,z'
loop_
_atom_site_label
_atom_site_fract_x
_atom_site_fract_y
_atom_site_fract_z
Tb1 0.677 0.177 0.355
Tb2 0.323 0.823 0.645
B1 0.856 0.356 0.712
B2 0.144 0.644 0.288
Np1 0.748 0.500 0.000
Np2 0.252 0.500 0.000
# energy of formation from the pure elements = 0.45 eV/atom
# DOS at the Fermi energy = 1.478 states/eV/atom
# ρ = 11.6 g/cm³
# SG = Immm (71)